1.
Below is a relaxed ZrCr2Br crystal, with properties calculated at the PBE level.

Output
**E**: -6.54 eV per atom
**Crystal system**: cubic
**Magnetization**: 8.0 μB per formula unit
**Offset from the most stable computed form**: 755 meV per atom

The structure in CIF format:
```
data_ZrCr2Br
_cell_length_a 6.789
_cell_length_b 6.789
_cell_length_c 6.789
_cell_angle_alpha 90.00
_cell_angle_beta 90.00
_cell_angle_gamma 90.00
_symmetry_space_group_name_H-M 'F -4 3 m'
_symmetry_Int_Tables_number 216
_symmetry_space_group_name_Hall 'F -4 2 3'
loop_
_atom_site_label
_atom_site_type_symbol
_atom_site_fract_x
_atom_site_fract_y
_atom_site_fract_z
Zr1 Zr 0.000 0.000 0.000
Cr1 Cr 0.000 0.000 0.500
Cr2 Cr 0.250 0.250 0.250
Br1 Br 0.250 0.250 0.750
```

---

2.
Below is a relaxed BaNbSi2 crystal, with properties calculated at the PBE level.

Output
**E**: -5.63 eV per atom
**Crystal system**: tetragonal
**Magnetization**: 0.0 μB per formula unit
**Offset from the most stable computed form**: 0 meV per atom

The structure in CIF format:
```
data_BaNbSi2
_cell_length_a 5.368
_cell_length_b 5.368
_cell_length_c 16.759
_cell_angle_alpha 90.00
_cell_angle_beta 90.00
_cell_angle_gamma 90.00
_symmetry_space_group_name_H-M 'I 41/a m d'
_symmetry_Int_Tables_number 141
loop_
_symmetry_equiv_pos_as_xyz
'x,y,z'
'-x,-y,-z'
'-y+1/4,x+3/4,z+1/4'
'y+1/4,-x+3/4,-z+1/4'
'-x+1/2,-y,z+1/2'
'x+1/2,y,-z+1/2'
'y+1/4,-x+1/4,z+3/4'
'-y+1/4,x+1/4,-z+3/4'
'x,-y,-z'
'-x,y,z'
'-y+1/4,-x+1/4,-z+3/4'
'y+1/4,x+1/4,z+3/4'
'-x+1/2,y,-z+1/2'
'x+1/2,-y,z+1/2'
'y+1/4,x+3/4,-z+1/4'
'-y+1/4,-x+3/4,z+1/4'
'x+1/2,y+1/2,z+1/2'
'-x+1/2,-y+1/2,-z+1/2'
'-y+3/4,x+1/4,z+3/4'
'y+3/4,-x+1/4,-z+3/4'
'-x,-y+1/2,z'
'x,y+1/2,-z'
'y+3/4,-x+3/4,z+1/4'
'-y+3/4,x+3/4,-z+1/4'
'x+1/2,-y+1/2,-z+1/2'
'-x+1/2,y+1/2,z+1/2'
'-y+3/4,-x+3/4,-z+1/4'
'y+3/4,x+3/4,z+1/4'
'-x,y+1/2,-z'
'x,-y+1/2,z'
'y+3/4,x+1/4,-z+3/4'
'-y+3/4,-x+1/4,z+3/4'
loop_
_atom_site_label
_atom_site_type_symbol
_atom_site_fract_x
_atom_site_fract_y
_atom_site_fract_z
Ba1 Ba 0.000 0.250 0.375
Nb1 Nb 0.000 0.250 0.875
Si1 Si 0.000 0.000 0.000
```

---

3.
Below is a relaxed Nd5Dy6Pu crystal, with properties calculated at the PBE level.

Output
**E**: -5.44 eV per atom
**Crystal system**: monoclinic
**Magnetization**: 6.4 μB per formula unit
**ΔH_f (0 K)**: 0.04 eV per atom

The structure in CIF format:
```
data_Nd5Dy6Pu
_cell_length_a 6.229
_cell_length_b 10.797
_cell_length_c 11.794
_cell_angle_alpha 90.00
_cell_angle_beta 100.17
_cell_angle_gamma 90.00
_symmetry_space_group_name_H-M 'C 1 2/m 1'
_symmetry_Int_Tables_number 12
loop_
_symmetry_equiv_pos_as_xyz
'x,y,z'
'-x,-y,-z'
'-x,y,-z'
'x,-y,z'
'x+1/2,y+1/2,z'
'-x+1/2,-y+1/2,-z'
'-x+1/2,y+1/2,-z'
'x+1/2,-y+1/2,z'
loop_
_atom_site_label
_atom_site_type_symbol
_atom_site_fract_x
_atom_site_fract_y
_atom_site_fract_z
Nd1 Nd 0.000 0.000 0.000
Nd2 Nd 0.000 0.167 0.500
Nd3 Nd 0.000 0.333 0.000
Dy1 Dy 0.246 0.500 0.253
Dy2 Dy 0.247 0.336 0.747
Pu1 Pu 0.000 0.500 0.500
```

---

4.
Below is a relaxed Rb2NbBrCl6 crystal, with properties calculated at the PBE level.

Output
**E**: -3.95 eV per atom
**Crystal system**: triclinic
**Magnetization**: 0.1 μB per formula unit
**Offset from the most stable computed form**: 0 meV per atom

The structure in CIF format:
```
data_Rb2NbBrCl6
_cell_length_a 6.633
_cell_length_b 6.974
_cell_length_c 9.091
_cell_angle_alpha 106.39
_cell_angle_beta 92.45
_cell_angle_gamma 90.68
_symmetry_space_group_name_H-M 'P 1'
_symmetry_Int_Tables_number 1
loop_
_symmetry_equiv_pos_as_xyz
'x,y,z'
loop_
_atom_site_label
_atom_site_type_symbol
_atom_site_fract_x
_atom_site_fract_y
_atom_site_fract_z
Rb1 Rb 0.000 0.000 0.000
Rb2 Rb 0.497 0.797 0.553
Nb1 Nb 0.035 0.304 0.499
Br1 Br 0.493 0.910 0.929
Cl1 Cl 0.094 0.961 0.366
Cl2 Cl 0.203 0.407 0.305
Cl3 Cl 0.343 0.327 0.644
Cl4 Cl 0.727 0.284 0.353
Cl5 Cl 0.864 0.202 0.691
Cl6 Cl 0.978 0.648 0.630
```

---

5.
Below is a relaxed Zr6PdAu crystal, with properties calculated at the PBE level.

Output
**E**: -7.80 eV per atom
**Crystal system**: tetragonal
**Magnetization**: 0.0 μB per formula unit
**Offset from the most stable computed form**: 0 meV per atom
**ΔH_f (0 K)**: -0.33 eV per atom

The structure in CIF format:
```
data_Zr6PdAu
_cell_length_a 4.585
_cell_length_b 4.585
_cell_length_c 16.235
_cell_angle_alpha 90.00
_cell_angle_beta 90.00
_cell_angle_gamma 90.00
_symmetry_space_group_name_H-M 'I 4/m m m'
_symmetry_Int_Tables_number 139
_symmetry_space_group_name_Hall '-I 4 2'
loop_
_atom_site_label
_atom_site_type_symbol
_atom_site_fract_x
_atom_site_fract_y
_atom_site_fract_z
Zr1 Zr 0.000 0.000 0.249
Zr2 Zr 0.000 0.500 0.116
Pd1 Pd 0.000 0.000 0.000
Au1 Au 0.000 0.000 0.500
```

---

6.
Below is a relaxed NdLuGaSn crystal, with properties calculated at the PBE level.

Output
**E**: -4.59 eV per atom
**Crystal system**: cubic
**Magnetization**: 0.0 μB per formula unit
**ΔH_f (0 K)**: -0.51 eV per atom

The structure in CIF format:
```
data_NdLuGaSn
_cell_length_a 7.436
_cell_length_b 7.436
_cell_length_c 7.436
_cell_angle_alpha 90.00
_cell_angle_beta 90.00
_cell_angle_gamma 90.00
_symmetry_space_group_name_H-M 'F -4 3 m'
_symmetry_Int_Tables_number 216
_symmetry_space_group_name_Hall 'F -4 2 3'
loop_
_atom_site_label
_atom_site_type_symbol
_atom_site_fract_x
_atom_site_fract_y
_atom_site_fract_z
Nd1 Nd 0.000 0.000 0.000
Lu1 Lu 0.000 0.000 0.500
Ga1 Ga 0.250 0.250 0.750
Sn1 Sn 0.250 0.250 0.250
```

---

7.
Below is a relaxed Nd3Dy2Zn2 crystal, with properties calculated at the PBE level.

Output
**E**: -3.81 eV per atom
**Crystal system**: orthorhombic
**Magnetization**: 0.0 μB per formula unit
**ΔH_f (0 K)**: -0.09 eV per atom

The structure in CIF format:
```
data_Nd3Dy2Zn2
_cell_length_a 3.635
_cell_length_b 31.050
_cell_length_c 3.603
_cell_angle_alpha 90.00
_cell_angle_beta 90.00
_cell_angle_gamma 90.00
_symmetry_space_group_name_H-M 'C m m m'
_symmetry_Int_Tables_number 65
_symmetry_space_group_name_Hall '-C 2 2'
loop_
_atom_site_label
_atom_site_type_symbol
_atom_site_fract_x
_atom_site_fract_y
_atom_site_fract_z
Nd1 Nd 0.000 0.000 0.000
Nd2 Nd 0.000 0.121 0.000
Dy1 Dy 0.000 0.298 0.500
Zn1 Zn 0.000 0.440 0.500
```

---

8.
Below is a relaxed AgPtCl5 crystal, with properties calculated at the PBE level.

Output
**E**: -2.97 eV per atom
**Crystal system**: monoclinic
**Magnetization**: 0.0 μB per formula unit

The structure in CIF format:
```
data_AgPtCl5
_cell_length_a 9.463
_cell_length_b 9.290
_cell_length_c 9.385
_cell_angle_alpha 90.00
_cell_angle_beta 115.10
_cell_angle_gamma 90.00
_symmetry_space_group_name_H-M 'C 1 2/c 1'
_symmetry_Int_Tables_number 15
loop_
_symmetry_equiv_pos_as_xyz
'x,y,z'
'-x,-y,-z'
'-x,y,-z+1/2'
'x,-y,z+1/2'
'x+1/2,y+1/2,z'
'-x+1/2,-y+1/2,-z'
'-x+1/2,y+1/2,-z+1/2'
'x+1/2,-y+1/2,z+1/2'
loop_
_atom_site_label
_atom_site_type_symbol
_atom_site_fract_x
_atom_site_fract_y
_atom_site_fract_z
Ag1 Ag 0.000 0.044 0.250
Pt1 Pt 0.250 0.250 0.000
Cl1 Cl 0.000 0.244 0.750
Cl2 Cl 0.106 0.272 0.148
Cl3 Cl 0.234 0.000 0.008
```

---

9.
Below is a relaxed Li2In5Hg crystal, with properties calculated at the PBE level.

Output
**E**: -2.38 eV per atom
**Crystal system**: orthorhombic
**Magnetization**: 0.0 μB per formula unit
**ΔH_f (0 K)**: -0.15 eV per atom

The structure in CIF format:
```
data_Li2In5Hg
_cell_length_a 6.375
_cell_length_b 12.777
_cell_length_c 4.550
_cell_angle_alpha 90.00
_cell_angle_beta 90.00
_cell_angle_gamma 90.00
_symmetry_space_group_name_H-M 'P b a m'
_symmetry_Int_Tables_number 55
loop_
_symmetry_equiv_pos_as_xyz
'x,y,z'
'-x,-y,-z'
'-x,-y,z'
'x,y,-z'
'x+1/2,-y+1/2,-z'
'-x+1/2,y+1/2,z'
'-x+1/2,y+1/2,-z'
'x+1/2,-y+1/2,z'
loop_
_atom_site_label
_atom_site_type_symbol
_atom_site_fract_x
_atom_site_fract_y
_atom_site_fract_z
Li1 Li 0.236 0.121 0.000
In1 In 0.000 0.500 0.500
In2 In 0.009 0.751 0.500
In3 In 0.242 0.375 0.000
Hg1 Hg 0.000 0.000 0.500
```

---

10.
Below is a relaxed LiSb2Se2 crystal, with properties calculated at the PBE level.

Output
**E**: -3.63 eV per atom
**Crystal system**: tetragonal
**Magnetization**: 0.0 μB per formula unit
**Offset from the most stable computed form**: 0 meV per atom

The structure in CIF format:
```
data_LiSb2Se2
_cell_length_a 7.255
_cell_length_b 7.255
_cell_length_c 4.680
_cell_angle_alpha 90.00
_cell_angle_beta 90.00
_cell_angle_gamma 90.00
_symmetry_space_group_name_H-M 'P 4/m b m'
_symmetry_Int_Tables_number 127
_symmetry_space_group_name_Hall '-P 4 2ab'
loop_
_atom_site_label
_atom_site_type_symbol
_atom_site_fract_x
_atom_site_fract_y
_atom_site_fract_z
Li1 Li 0.000 0.000 0.000
Sb1 Sb 0.177 0.323 0.500
Se1 Se 0.180 0.680 0.000
```

---

11.
Below is a relaxed Pr2TiN3 crystal, with properties calculated at the PBE level.

Output
**E**: -8.45 eV per atom
**Crystal system**: monoclinic
**Magnetization**: 0.0 μB per formula unit
**Offset from the most stable computed form**: 0 meV per atom

The structure in CIF format:
```
data_Pr2TiN3
_cell_length_a 5.667
_cell_length_b 11.074
_cell_length_c 12.073
_cell_angle_alpha 90.00
_cell_angle_beta 93.00
_cell_angle_gamma 90.00
_symmetry_space_group_name_H-M 'C 1 2/c 1'
_symmetry_Int_Tables_number 15
loop_
_symmetry_equiv_pos_as_xyz
'x,y,z'
'-x,-y,-z'
'-x,y,-z+1/2'
'x,-y,z+1/2'
'x+1/2,y+1/2,z'
'-x+1/2,-y+1/2,-z'
'-x+1/2,y+1/2,-z+1/2'
'x+1/2,-y+1/2,z+1/2'
loop_
_atom_site_label
_atom_site_type_symbol
_atom_site_fract_x
_atom_site_fract_y
_atom_site_fract_z
Pr1 Pr 0.226 0.113 0.426
Pr2 Pr 0.231 0.202 0.852
Ti1 Ti 0.219 0.498 0.833
N1 N 0.000 0.008 0.750
N2 N 0.000 0.382 0.750
N3 N 0.174 0.331 0.373
N4 N 0.212 0.098 0.039
```

---

> Number 9 is which compound?

Li2In5Hg

---

> What is the formula in the third record?

Nd5Dy6Pu